[1]
A relaxed CrSn3H crystal, computed with PBE.

Output
Spin magnetization = 4.1 Bohr magnetons per cell
E = -0.16746 Ha/atom
Symmetry = Pm-3m (221)

Lattice parameters (Å, degrees): 4.644 4.644 4.644 90.00 90.00 90.00
Each line ends with the local moment (μB).
Positions (direct):
Cr (0.500, 0.500, 0.500)  3.79
Sn (0.000, 0.500, 0.000)  -0.05
Sn (0.000, 0.000, 0.500)  -0.02
Sn (0.500, 0.000, 0.000)  -0.01
H (0.000, 0.000, 0.000)  -0.02

=====

[2]
A relaxed CrSn2H crystal, computed with PBE.

Output
Polymorph energy (0 for the lowest one) = 0.100 eV per atom
Spin magnetization = 4.5 Bohr magnetons per cell
E = -0.17167 Ha/atom
Symmetry = Fm-3m (225)

Lattice parameters (Å, degrees): 4.677 4.677 4.677 60.00 60.00 60.00
Each line ends with the local moment (μB).
Positions (direct):
Cr (0.500, 0.500, 0.500)  3.54
Sn (0.250, 0.250, 0.250)  0.02
Sn (0.750, 0.750, 0.750)  0.02
H (0.000, 0.000, 0.000)  0.18

=====

[3]
A relaxed CrSnH2 crystal, computed with PBE.

Output
Polymorph energy (0 for the lowest one) = 0.487 eV per atom
Spin magnetization = 3.8 Bohr magnetons per cell
E = -0.15681 Ha/atom
Symmetry = Fm-3m (225)

Lattice parameters (Å, degrees): 4.045 4.045 4.045 60.00 60.00 60.00
Each line ends with the local moment (μB).
Positions (direct):
Cr (0.000, 0.000, 0.000)  3.48
Sn (0.500, 0.500, 0.500)  -0.05
H (0.250, 0.250, 0.250)  0.00
H (0.750, 0.750, 0.750)  0.00

=====

[4]
A relaxed CrSn2H crystal, computed with PBE.

Output
Polymorph energy (0 for the lowest one) = 0.000 eV per atom
Spin magnetization = 6.0 Bohr magnetons per cell
E = -0.17535 Ha/atom
Symmetry = I-42d (122)

Lattice parameters (Å, degrees): 6.544 6.544 5.655 54.65 54.65 90.00
Each line ends with the local moment (μB).
Positions (direct):
Cr (0.000, 0.000, 0.000)  3.06
Cr (0.750, 0.250, 0.500)  3.07
Sn (0.553, 0.125, 0.250)  -0.11
Sn (0.197, 0.625, 0.250)  -0.10
Sn (0.375, 0.447, 0.750)  -0.11
Sn (0.875, 0.803, 0.750)  -0.10
H (0.500, 0.500, 0.000)  0.01
H (0.250, 0.750, 0.500)  0.01

=====

[5]
A relaxed Ta2CrSnH crystal, computed with PBE.

Output
Spin magnetization = 1.1 Bohr magnetons per cell
E = -0.29655 Ha/atom
Symmetry = P4/mmm (123)

Lattice parameters (Å, degrees): 4.156 4.156 4.119 90.00 90.00 90.00
Each line ends with the local moment (μB).
Positions (direct):
Cr (0.000, 0.000, 0.500)  1.46
Sn (0.500, 0.500, 0.500)  -0.03
H (0.000, 0.000, 0.000)  0.00
Ta (0.000, 0.500, 0.000)  -0.16
Ta (0.500, 0.000, 0.000)  -0.16

=====

[6]
A relaxed TiCr2SnH crystal, computed with PBE.

Output
Spin magnetization = 3.5 Bohr magnetons per cell
E = -0.25465 Ha/atom
Symmetry = P4/mmm (123)

Lattice parameters (Å, degrees): 4.127 4.127 3.761 90.00 90.00 90.00
Each line ends with the local moment (μB).
Positions (direct):
Cr (0.000, 0.500, 0.000)  1.98
Cr (0.500, 0.000, 0.000)  1.98
Sn (0.500, 0.500, 0.500)  -0.09
H (0.000, 0.000, 0.000)  -0.01
Ti (0.000, 0.000, 0.500)  -0.57

=====

[7]
A relaxed Ti2CrSnH crystal, computed with PBE.

Output
Spin magnetization = 0.6 Bohr magnetons per cell
E = -0.24930 Ha/atom
Symmetry = P4/mmm (123)

Lattice parameters (Å, degrees): 4.218 4.218 3.775 90.00 90.00 90.00
Each line ends with the local moment (μB).
Positions (direct):
Cr (0.000, 0.000, 0.500)  1.15
Sn (0.500, 0.500, 0.500)  -0.01
H (0.000, 0.000, 0.000)  0.00
Ti (0.000, 0.500, 0.000)  -0.25
Ti (0.500, 0.000, 0.000)  -0.25

=====

[8]
A relaxed VCrSnH2 crystal, computed with PBE.

Output
Spin magnetization = 5.3 Bohr magnetons per cell
E = -0.19288 Ha/atom
Symmetry = P4/mmm (123)

Lattice parameters (Å, degrees): 3.710 3.710 5.464 90.00 90.00 90.00
Each line ends with the local moment (μB).
Positions (direct):
Cr (0.500, 0.500, 0.500)  3.17
Sn (0.000, 0.000, 0.500)  -0.23
H (0.000, 0.500, 0.000)  -0.02
H (0.500, 0.000, 0.000)  -0.02
V (0.000, 0.000, 0.000)  1.87

=====

[9]
A relaxed SrCrH2 crystal, computed with PBE.

Output
Polymorph energy (0 for the lowest one) = 0.000 eV per atom
Spin magnetization = 0.0 Bohr magnetons per cell
E = -0.15454 Ha/atom
Symmetry = I-42d (122)

Lattice parameters (Å, degrees): 5.277 5.277 5.213 59.59 59.59 90.00
Positions (direct):
Sr (0.000, 0.000, 0.000)
Sr (0.750, 0.250, 0.500)
H (0.513, 0.125, 0.250)
H (0.237, 0.625, 0.250)
H (0.375, 0.487, 0.750)
H (0.875, 0.763, 0.750)
Cr (0.500, 0.500, 0.000)
Cr (0.250, 0.750, 0.500)

=====

[10]
A relaxed SrCr2H crystal, computed with PBE.

Output
Polymorph energy (0 for the lowest one) = 0.788 eV per atom
Spin magnetization = 9.6 Bohr magnetons per cell
E = -0.16824 Ha/atom
Symmetry = Fm-3m (225)

Lattice parameters (Å, degrees): 5.094 5.094 5.094 60.00 60.00 60.00
Each line ends with the local moment (μB).
Positions (direct):
Sr (0.500, 0.500, 0.500)  0.16
H (0.000, 0.000, 0.000)  -0.06
Cr (0.250, 0.250, 0.250)  4.04
Cr (0.750, 0.750, 0.750)  4.04

=====

[11]
A relaxed SrCr3H crystal, computed with PBE.

Output
Polymorph energy (0 for the lowest one) = 0.000 eV per atom
Spin magnetization = 12.6 Bohr magnetons per cell
E = -0.21420 Ha/atom
Symmetry = Pm-3m (221)

Lattice parameters (Å, degrees): 4.507 4.507 4.507 90.00 90.00 90.00
Each line ends with the local moment (μB).
Positions (direct):
Sr (0.500, 0.500, 0.500)  0.07
H (0.000, 0.000, 0.000)  -0.06
Cr (0.000, 0.500, 0.000)  3.73
Cr (0.000, 0.000, 0.500)  3.81
Cr (0.500, 0.000, 0.000)  3.53

=====

[12]
A relaxed SrCrH2 crystal, computed with PBE.

Output
Polymorph energy (0 for the lowest one) = 0.139 eV per atom
Spin magnetization = 5.3 Bohr magnetons per cell
E = -0.14943 Ha/atom
Symmetry = Fm-3m (225)

Lattice parameters (Å, degrees): 4.457 4.457 4.457 60.00 60.00 60.00
Each line ends with the local moment (μB).
Positions (direct):
Sr (0.500, 0.500, 0.500)  0.12
H (0.250, 0.250, 0.250)  0.00
H (0.750, 0.750, 0.750)  0.00
Cr (0.000, 0.000, 0.000)  4.27